Entry 1:
Here is crystalline Na3Hg5 at its relaxed geometry from Alexandria. Energies are from PBE.

Properties
Space-group type   P-62m
Raw total energy   -0.908 eV/atom
Energy relative to the elements   -225 meV per atom
Density   8.4 Mg/m³
DOS(E_F)   2.0 states/eV per cell
Polymorph energy (0 for the lowest one)   0.0000 eV per atom

Geometry as CIF:
```
data_Na3Hg5
_chemical_formula_sum 'Na3 Hg5'
_symmetry_space_group_name_H-M 'P 1'
_symmetry_Int_Tables_number 1
_cell_length_a 3.698
_cell_length_b 8.114
_cell_length_c 8.114
_cell_angle_alpha 120.00
_cell_angle_beta 90.00
_cell_angle_gamma 90.00
loop_
_symmetry_equiv_pos_as_xyz
'x,y,z'
loop_
_atom_site_label
_atom_site_type_symbol
_atom_site_fract_x
_atom_site_fract_y
_atom_site_fract_z
_atom_site_occupancy
Hg1 Hg 0.000 0.333 0.667 1
Hg2 Hg 0.000 0.667 0.333 1
Hg3 Hg 0.000 0.000 0.234 1
Na1 Na 0.500 0.617 0.000 1
Na2 Na 0.500 0.383 0.383 1
Hg4 Hg 0.000 0.234 0.000 1
Hg5 Hg 0.000 0.766 0.766 1
Na3 Na 0.500 0.000 0.617 1
```


Entry 2:
Here is crystalline CsCeSbS4 at its relaxed geometry from Alexandria. Energies are from PBE.

Properties
Space-group type   P2_1/m
Raw total energy   -4.924 eV/atom
Formation energy (no corrections)   -1.007 eV/atom
Density   3.9 Mg/m³

Geometry as CIF:
```
data_CsCeSbS4
_chemical_formula_sum 'Cs2 Ce2 Sb2 S8'
_symmetry_space_group_name_H-M 'P 1'
_symmetry_Int_Tables_number 1
_cell_length_a 7.102
_cell_length_b 6.518
_cell_length_c 11.747
_cell_angle_alpha 90.00
_cell_angle_beta 124.78
_cell_angle_gamma 90.00
loop_
_symmetry_equiv_pos_as_xyz
'x,y,z'
loop_
_atom_site_label
_atom_site_type_symbol
_atom_site_fract_x
_atom_site_fract_y
_atom_site_fract_z
_atom_site_occupancy
S1 S 0.932 0.490 0.306 1
S2 S 0.068 0.990 0.694 1
Ce1 Ce 0.275 0.750 0.358 1
S3 S 0.932 0.010 0.306 1
S4 S 0.343 0.750 0.152 1
S5 S 0.570 0.750 0.619 1
S6 S 0.657 0.250 0.848 1
Ce2 Ce 0.725 0.250 0.642 1
S7 S 0.430 0.250 0.381 1
Cs1 Cs 0.625 0.750 0.937 1
S8 S 0.068 0.510 0.694 1
Sb1 Sb 0.758 0.750 0.367 1
Cs2 Cs 0.375 0.250 0.063 1
Sb2 Sb 0.242 0.250 0.633 1
```


Entry 3:
Here is crystalline GaSbC2Br at its relaxed geometry from Alexandria. Energies are from PBE.

Properties
Space-group type   P4/mmm
Raw total energy   -3.641 eV/atom
Formation energy (no corrections)   1.813 eV/atom
Density   3.7 Mg/m³
DOS(E_F)   0.6 states/eV per cell

Geometry as CIF:
```
data_GaSbC2Br
_chemical_formula_sum 'Ga1 Sb1 C2 Br1'
_symmetry_space_group_name_H-M 'P 1'
_symmetry_Int_Tables_number 1
_cell_length_a 4.284
_cell_length_b 7.205
_cell_length_c 4.284
_cell_angle_alpha 90.00
_cell_angle_beta 90.00
_cell_angle_gamma 90.00
loop_
_symmetry_equiv_pos_as_xyz
'x,y,z'
loop_
_atom_site_label
_atom_site_type_symbol
_atom_site_fract_x
_atom_site_fract_y
_atom_site_fract_z
_atom_site_occupancy
Br1 Br 0.000 0.500 0.000 1
C1 C 0.000 0.000 0.500 1
C2 C 0.500 0.000 0.000 1
Sb1 Sb 0.000 0.000 0.000 1
Ga1 Ga 0.500 0.500 0.500 1
```


Entry 4:
Here is crystalline Sr3CePm2As6 at its relaxed geometry from Alexandria. Energies are from PBE.

Properties
Space-group type   C2/m
Raw total energy   -5.248 eV/atom
Energy relative to the elements   -1217 meV per atom
Density   5.4 Mg/m³
DOS(E_F)   12.9 states/eV per cell

Geometry as CIF:
```
data_Sr3CePm2As6
_chemical_formula_sum 'Sr3 Ce1 Pm2 As6'
_symmetry_space_group_name_H-M 'P 1'
_symmetry_Int_Tables_number 1
_cell_length_a 7.529
_cell_length_b 7.529
_cell_length_c 7.586
_cell_angle_alpha 99.54
_cell_angle_beta 99.54
_cell_angle_gamma 120.08
loop_
_symmetry_equiv_pos_as_xyz
'x,y,z'
loop_
_atom_site_label
_atom_site_type_symbol
_atom_site_fract_x
_atom_site_fract_y
_atom_site_fract_z
_atom_site_occupancy
Ce1 Ce 0.000 0.000 0.000 1
Sr1 Sr 0.169 0.831 0.500 1
Sr2 Sr 0.500 0.500 0.500 1
As1 As 0.403 0.075 0.225 1
As2 As 0.597 0.925 0.775 1
As3 As 0.075 0.403 0.225 1
As4 As 0.748 0.748 0.226 1
Sr3 Sr 0.831 0.169 0.500 1
As5 As 0.252 0.252 0.774 1
Pm1 Pm 0.333 0.667 0.000 1
As6 As 0.925 0.597 0.775 1
Pm2 Pm 0.667 0.333 0.000 1
```


Number 1: total magnetization 0.000 μB/f.u.. Number 2: total magnetization 0.000 μB/f.u.. Number 3: total magnetization 1.050 μB/f.u.. Number 4: total magnetization 0.000 μB/f.u..